(1)
Here is a relaxed structure of PmGdSb2 from the Alexandria database. Energies are from PBE-GGA.

Structure (CIF):
```
data_PmGdSb2
_chemical_formula_sum 'Pm3 Gd3 Sb6'
_symmetry_space_group_name_H-M 'R -3 m'
_symmetry_Int_Tables_number 166
_symmetry_space_group_name_Hall '-R 3 2"'
_cell_length_a 4.4656
_cell_length_b 4.4656
_cell_length_c 21.8572
_cell_angle_alpha 90.00
_cell_angle_beta 90.00
_cell_angle_gamma 120.00
loop_
_atom_site_label
_atom_site_type_symbol
_atom_site_fract_x
_atom_site_fract_y
_atom_site_fract_z
Pm1 Pm 0.0000 0.0000 0.0000
Gd1 Gd 0.0000 0.0000 0.5000
Sb1 Sb 0.0000 0.0000 0.2485
```

Results
- ΔE to the lowest computed polymorph (meV per atom) = 0
- ΔE_f (raw) (eV/atom) = -1.18

---

(2)
Here is a relaxed structure of LiGaGe2C from the Alexandria database. Energies are from PBE-GGA.

Structure (CIF):
```
data_LiGaGe2C
_chemical_formula_sum 'Li1 Ga1 Ge2 C1'
_symmetry_space_group_name_H-M 'P 4/m m m'
_symmetry_Int_Tables_number 123
_symmetry_space_group_name_Hall '-P 4 2'
_cell_length_a 4.480
_cell_length_b 4.480
_cell_length_c 4.452
_cell_angle_alpha 90.00
_cell_angle_beta 90.00
_cell_angle_gamma 90.00
loop_
_atom_site_label
_atom_site_type_symbol
_atom_site_fract_x
_atom_site_fract_y
_atom_site_fract_z
Li1 Li 0.000 0.000 0.000
Ga1 Ga 0.000 0.000 0.500
Ge1 Ge 0.000 0.500 0.000
C1 C 0.500 0.500 0.500
```

Results
- formation enthalpy at 0 K (meV/atom) = 1535